The following is a PBE calculation of an optimized crystal structure of ZrSc2Zn, from Alexandria via LeMat-Bulk.

extended XYZ file:
```
4
Lattice="3.2342 0.0000 0.0000 0.0000 4.3924 0.0000 -0.6400 0.0000 6.0443" Properties=species:S:1:pos:R:3 pbc="T T T"
Zr 0.0000 0.0000 0.0000
Sc 0.9611 2.1962 4.5025
Sc 1.6331 2.1962 1.5418
Zn -0.3200 0.0000 3.0221
```

calculated formation energy = -65.0 meV per atom
calculated volume = 85.86 Å³/f.u.